LiVH2OF5 after structural relaxation, computed with GGA+U.

V = 11.9 A^3/atom
DFT total energy = -0.1945 Ha/atom
ρ = 2384 kg/m³

Unit cell a=9.3741 b=6.5077 c=7.8140 alpha=90.00 beta=93.00 gamma=90.00
Closest atoms and distances in Å follow each position.
Space group C2 (No. 5)
One atom of each set of equivalent atoms:
Li 0.2213 0.0000 0.2578 [4 per cell]  4 F 1.96-2.05
V 0.0000 0.2732 0.0000 [2 per cell]  5 F 1.83-1.92
V 0.0000 0.7360 0.5000 [2 per cell]  5 F 1.83-1.88, 1 O 2.03
H 0.0345 0.3390 0.4055 [4 per cell]  1 O 0.99
H 0.0357 0.6741 0.9080 [4 per cell]  1 O 0.98
O 0.0000 0.4246 0.5000 [2 per cell]  2 H 0.99
O 0.0000 0.5885 0.0000 [2 per cell]  2 H 0.98
F 0.0000 0.0171 0.5000 [2 per cell]  1 V 1.83
F 0.0000 0.9903 0.0000 [2 per cell]  1 V 1.84
F 0.0998 0.2531 0.2198 [4 per cell]  1 H 1.70
F 0.1146 0.7052 0.7030 [4 per cell]  1 H 1.81, 1 V 1.88
F 0.1654 0.7488 0.3764 [4 per cell]  1 V 1.87, 1 Li 1.96
F 0.1694 0.3116 0.8980 [4 per cell]  1 V 1.83, 1 Li 2.04